GGA-PBE Hf2Tc3Ni, relaxed; V = 97.6 Å³/cell; M_tot = 0.000 μB/f.u.; DOS(E_F) = 0.854 states/eV/atom; formation energy from the elements = -0.39 eV per atom; electronic total energy = -9.85 eV per atom
1.0
4.5290 -0.1347 -2.3784
-2.8795 4.2247 -0.2187
-0.1435 0.1677 5.2158
Hf Ni Tc
2 1 3
Cartesian
-0.8078 2.7414 3.8041 Hf
2.3139 1.5163 -1.1854 Hf
0.0000 0.0000 0.0000 Ni
-0.0717 0.0838 2.6079 Tc
0.7530 2.1288 1.3093 Tc
2.1928 0.0165 1.4187 Tc



GGA-PBE Hf2Tc2Ni, relaxed; V = 173.6 Å³/cell; M_tot = 0.442 μB/f.u.; DOS(E_F) = 1.122 states/eV/atom; formation energy from the elements = -0.09 eV per atom; electronic total energy = -9.38 eV per atom
1.0
6.5306 0.0000 0.0000
0.0000 6.5306 0.0000
0.0000 0.0000 4.0697
Hf Tc Ni
4 4 2
Cartesian
2.1043 1.1610 2.0349 Hf
4.4263 5.3697 2.0349 Hf
5.3697 2.1043 2.0349 Hf
1.1610 4.4263 2.0349 Hf
0.8606 2.4048 0.0000 Tc
2.4048 5.6701 0.0000 Tc
4.1259 0.8606 0.0000 Tc
5.6701 4.1259 0.0000 Tc
0.0000 0.0000 0.0000 Ni
3.2653 3.2653 0.0000 Ni



GGA-PBE HfTcNi3, relaxed; V = 85.8 Å³/cell; M_tot = 0.000 μB/f.u.; DOS(E_F) = 1.823 states/eV/atom; formation energy from the elements = 0.88 eV per atom; electronic total energy = -6.66 eV per atom; polymorph energy (0 for the lowest one) = 0.00 eV per formula unit
1.0
-2.2121 -3.1050 2.2188
2.1140 -3.1322 -2.2756
3.1773 -0.0779 3.0588
Ni Hf Tc
3 1 1
Cartesian
1.0570 -1.5661 -1.1378 Ni
1.5887 -0.0389 1.5294 Ni
-1.1061 -1.5525 1.1094 Ni
1.5396 -3.1575 1.5010 Hf
0.0000 0.0000 0.0000 Tc